The following is a DFT calculation (PBE-GGA) of crystalline SrCaTbSm at its relaxed geometry.

Results
The value obtained for the mass density is 4735 kg/m3. As for the formation energy: 186 meV per atom.

Unit cell a=6.0067 b=6.0067 c=6.0067 alpha=60.00 beta=60.00 gamma=60.00
Closest atoms and distances in Å follow each position.
Sites, in units of the cell vectors:
Sr  0.0000  0.0000  0.0000  4 Tb 3.68, 4 Ca 3.68
Ca  0.2500  0.2500  0.2500  4 Sm 3.68, 4 Sr 3.68
Tb  0.7500  0.7500  0.7500  4 Sm 3.68, 4 Sr 3.68
Sm  0.5000  0.5000  0.5000  4 Tb 3.68, 4 Ca 3.68